1.
Here is a geometry-optimized Er3PuTl4Se8 structure from the Alexandria database. Energies are from PBE.

Values from the calculation:
E_form (uncorrected)   -1302 meV per atom
Symmetry   R-3m
Calculated total energy   -5.39 eV per atom

Unit cell a=8.3565 b=9.1344 c=8.3563 alpha=117.23 beta=120.00 gamma=90.00
Element x y z (fractional)
Er1 0.5000 0.5000 0.0000
Er2 0.5000 0.5000 0.5000
Er3 0.0000 0.5000 0.5000
Pu1 0.0000 0.5000 0.0000
Tl1 0.5000 0.0000 0.0000
Tl2 0.5000 0.0000 0.5000
Tl3 0.0000 0.0000 0.0000
Tl4 0.0000 0.0000 0.5000
Se1 0.2371 0.7033 0.9665
Se2 0.2371 0.7033 0.4741
Se3 0.2659 0.2978 0.5317
Se4 0.7294 0.7033 0.9665
Se5 0.2706 0.2967 0.0335
Se6 0.7341 0.7022 0.4683
Se7 0.7629 0.2967 0.5259
Se8 0.7629 0.2967 0.0335



2.
Here is a geometry-optimized AlP2Rh structure from the Alexandria database. Energies are from PBE.

Values from the calculation:
Energy of formation   -116 meV per atom
Symmetry   C2/m
Calculated total energy   -5.59 eV per atom

Unit cell a=4.4866 b=4.4866 c=4.1755 alpha=68.80 beta=68.80 gamma=109.54
Element x y z (fractional)
P1 0.0000 0.0000 0.0000
P2 0.5000 0.5000 0.0000
Rh1 0.5000 0.0000 0.5000
Al1 0.0000 0.5000 0.5000



3.
Here is a geometry-optimized ZnCd4Pd7 structure from the Alexandria database. Energies are from PBE.

Values from the calculation:
Energy of formation   -178 meV per atom
Symmetry   C2/m
Calculated total energy   -3.62 eV per atom

Unit cell a=4.8081 b=9.0203 c=5.8041 alpha=79.10 beta=65.53 gamma=74.54
Element x y z (fractional)
Zn1 0.0000 0.0000 0.0000
Cd1 0.5917 0.2286 0.5880
Cd2 0.4083 0.7714 0.4120
Cd3 0.7658 0.6708 0.7975
Cd4 0.2342 0.3292 0.2025
Pd1 0.7997 0.9287 0.4719
Pd2 0.2003 0.0713 0.5281
Pd3 0.0740 0.6884 0.1637
Pd4 0.9260 0.3116 0.8363
Pd5 0.3636 0.5123 0.7605
Pd6 0.5000 0.0000 0.0000
Pd7 0.6364 0.4877 0.2395



4.
Here is a geometry-optimized NbRu2Se structure from the Alexandria database. Energies are from PBE.

Values from the calculation:
E_form (uncorrected)   471 meV per atom
Symmetry   I-42d
Calculated total energy   -7.56 eV per atom

Unit cell a=5.5067 b=5.5067 c=6.9765 alpha=66.76 beta=66.76 gamma=90.00
Element x y z (fractional)
Ru1 0.6089 0.1250 0.2500
Ru2 0.1411 0.6250 0.2500
Ru3 0.3750 0.3911 0.7500
Ru4 0.8750 0.8589 0.7500
Nb1 0.0000 0.0000 0.0000
Nb2 0.7500 0.2500 0.5000
Se1 0.5000 0.5000 0.0000
Se2 0.2500 0.7500 0.5000



5.
Here is a geometry-optimized TlGaO2 structure from the Alexandria database. Energies are from PBE.

Values from the calculation:
E_form (uncorrected)   -1291 meV per atom
Symmetry   P2_1/m
Calculated total energy   -5.12 eV per atom
Energy relative to the lowest polymorph listed for this composition   0.115 eV per atom

Unit cell a=18.1669 b=3.3673 c=8.3374 alpha=90.00 beta=139.41 gamma=90.00
Element x y z (fractional)
Tl1 0.1557 0.2500 0.7531
Tl2 0.8443 0.7500 0.2469
Tl3 0.3443 0.7500 0.7469
Tl4 0.6557 0.2500 0.2531
O1 0.9526 0.2500 0.0262
O2 0.0474 0.7500 0.9738
O3 0.5474 0.7500 0.4738
O4 0.4526 0.2500 0.5262
O5 0.1446 0.7500 0.5113
O6 0.8554 0.2500 0.4887
O7 0.3554 0.2500 0.9887
O8 0.6446 0.7500 0.0113
Ga1 0.4697 0.2500 0.3180
Ga2 0.5303 0.7500 0.6820
Ga3 0.0303 0.7500 0.1820
Ga4 0.9697 0.2500 0.8180



6.
Here is a geometry-optimized Nd4Sm5Tl structure from the Alexandria database. Energies are from PBE.

Values from the calculation:
Energy of formation   103 meV per atom
Symmetry   I4mm
Calculated total energy   -4.40 eV per atom
Energy relative to the lowest polymorph listed for this composition   0.081 eV per atom

Unit cell a=6.0065 b=8.2132 c=8.2132 alpha=82.32 beta=68.55 gamma=68.55
Element x y z (fractional)
Nd1 0.4644 0.3127 0.6874
Nd2 0.7771 0.6874 0.6873
Nd3 0.1518 0.3126 0.3127
Nd4 0.4645 0.6873 0.3126
Sm1 0.7668 0.3718 0.9999
Sm2 0.1386 0.9999 0.6282
Sm3 0.7667 0.0001 0.3718
Sm4 0.1385 0.6282 0.0001
Sm5 0.6609 0.0000 0.0000
Tl1 0.1810 0.0000 0.0000